First-principles (PBE) data for an optimized crystal structure of Ho3PuPb12, as listed in the Alexandria database.

Geometry as CIF:
```
data_Ho3PuPb12
_chemical_formula_sum 'Ho3 Pu1 Pb12'
_cell_length_a 4.8711
_cell_length_b 4.8711
_cell_length_c 19.4490
_cell_angle_alpha 90.00
_cell_angle_beta 90.00
_cell_angle_gamma 90.00
_symmetry_space_group_name_H-M 'P 1'
_symmetry_Int_Tables_number 1
loop_
_symmetry_equiv_pos_as_xyz
'x,y,z'
loop_
_atom_site_label
_atom_site_type_symbol
_atom_site_fract_x
_atom_site_fract_y
_atom_site_fract_z
Ho1 Ho 0.0000 0.0000 0.0000
Ho2 Ho 0.0000 0.0000 0.2513
Ho3 Ho 0.0000 0.0000 0.7487
Pu1 Pu 0.0000 0.0000 0.5000
Pb1 Pb 0.0000 0.5000 0.1252
Pb2 Pb 0.0000 0.5000 0.3748
Pb3 Pb 0.0000 0.5000 0.6252
Pb4 Pb 0.0000 0.5000 0.8748
Pb5 Pb 0.5000 0.0000 0.1252
Pb6 Pb 0.5000 0.0000 0.3748
Pb7 Pb 0.5000 0.0000 0.6252
Pb8 Pb 0.5000 0.0000 0.8748
Pb9 Pb 0.5000 0.5000 0.0000
Pb10 Pb 0.5000 0.5000 0.2499
Pb11 Pb 0.5000 0.5000 0.5000
Pb12 Pb 0.5000 0.5000 0.7501
```

* space-group type: P4/mmm (123)
* spin magnetization: 5.77 μB per cell
* energy: -4.774 eV per atom
* D(E_F): 1.12 states/eV/atom
* ΔH_f (0 K): -239 meV/atom


First-principles (PBE) data for an optimized crystal structure of SrMg2Ag, as listed in the Alexandria database.

Geometry as CIF:
```
data_SrMg2Ag
_chemical_formula_sum 'Sr8 Mg16 Ag8'
_cell_length_a 17.1071
_cell_length_b 8.3602
_cell_length_c 6.0854
_cell_angle_alpha 90.00
_cell_angle_beta 90.00
_cell_angle_gamma 90.00
_symmetry_space_group_name_H-M 'P 1'
_symmetry_Int_Tables_number 1
loop_
_symmetry_equiv_pos_as_xyz
'x,y,z'
loop_
_atom_site_label
_atom_site_type_symbol
_atom_site_fract_x
_atom_site_fract_y
_atom_site_fract_z
Sr1 Sr 0.1063 0.2500 0.2393
Sr2 Sr 0.1372 0.7500 0.0395
Sr3 Sr 0.3628 0.2500 0.5395
Sr4 Sr 0.3937 0.7500 0.7393
Sr5 Sr 0.6063 0.2500 0.2607
Sr6 Sr 0.6372 0.7500 0.4605
Sr7 Sr 0.8628 0.2500 0.9605
Sr8 Sr 0.8937 0.7500 0.7607
Mg1 Mg 0.0402 0.0585 0.7317
Mg2 Mg 0.0402 0.4415 0.7317
Mg3 Mg 0.2117 0.5571 0.5447
Mg4 Mg 0.2117 0.9429 0.5447
Mg5 Mg 0.2883 0.0571 0.0447
Mg6 Mg 0.2883 0.4429 0.0447
Mg7 Mg 0.4598 0.5585 0.2317
Mg8 Mg 0.4598 0.9415 0.2317
Mg9 Mg 0.5402 0.0585 0.7683
Mg10 Mg 0.5402 0.4415 0.7683
Mg11 Mg 0.7117 0.5571 0.9553
Mg12 Mg 0.7117 0.9429 0.9553
Mg13 Mg 0.7883 0.0571 0.4553
Mg14 Mg 0.7883 0.4429 0.4553
Mg15 Mg 0.9598 0.5585 0.2683
Mg16 Mg 0.9598 0.9415 0.2683
Ag1 Ag 0.0690 0.7500 0.5298
Ag2 Ag 0.1858 0.2500 0.7554
Ag3 Ag 0.3142 0.7500 0.2554
Ag4 Ag 0.4310 0.2500 0.0298
Ag5 Ag 0.5690 0.7500 0.9702
Ag6 Ag 0.6858 0.2500 0.7446
Ag7 Ag 0.8142 0.7500 0.2446
Ag8 Ag 0.9310 0.2500 0.4702
```

* space-group type: Pnma (62)
* spin magnetization: 0.00 μB per cell
* energy: -2.139 eV per atom
* D(E_F): 0.69 states/eV/atom
* ΔH_f (0 K): -208 meV/atom


First-principles (PBE) data for an optimized crystal structure of NdTmHfN3, as listed in the Alexandria database.

Geometry as CIF:
```
data_NdTmHfN3
_chemical_formula_sum 'Nd2 Tm2 Hf2 N6'
_cell_length_a 5.7697
_cell_length_b 3.3994
_cell_length_c 8.8980
_cell_angle_alpha 90.00
_cell_angle_beta 101.90
_cell_angle_gamma 90.00
_symmetry_space_group_name_H-M 'P 1'
_symmetry_Int_Tables_number 1
loop_
_symmetry_equiv_pos_as_xyz
'x,y,z'
loop_
_atom_site_label
_atom_site_type_symbol
_atom_site_fract_x
_atom_site_fract_y
_atom_site_fract_z
Nd1 Nd 0.1558 0.2500 0.1969
Nd2 Nd 0.8442 0.7500 0.8031
Tm1 Tm 0.3567 0.2500 0.8571
Tm2 Tm 0.6433 0.7500 0.1429
Hf1 Hf 0.2647 0.7500 0.5405
Hf2 Hf 0.7353 0.2500 0.4595
N1 N 0.0504 0.2500 0.6433
N2 N 0.2550 0.7500 0.9980
N3 N 0.4682 0.7500 0.3604
N4 N 0.5318 0.2500 0.6396
N5 N 0.7450 0.2500 0.0020
N6 N 0.9496 0.7500 0.3567
```

* space-group type: P2_1/m (11)
* spin magnetization: 0.00 μB per cell
* energy: -8.863 eV per atom
* D(E_F): 0.36 states/eV/atom


First-principles (PBE) data for an optimized crystal structure of EuHoIr, as listed in the Alexandria database.

Geometry as CIF:
```
data_EuHoIr
_chemical_formula_sum 'Eu1 Ho1 Ir1'
_cell_length_a 4.8560
_cell_length_b 4.8560
_cell_length_c 4.8560
_cell_angle_alpha 60.00
_cell_angle_beta 60.00
_cell_angle_gamma 60.00
_symmetry_space_group_name_H-M 'P 1'
_symmetry_Int_Tables_number 1
loop_
_symmetry_equiv_pos_as_xyz
'x,y,z'
loop_
_atom_site_label
_atom_site_type_symbol
_atom_site_fract_x
_atom_site_fract_y
_atom_site_fract_z
Eu1 Eu 0.0000 0.0000 0.0000
Ho1 Ho 0.5000 0.5000 0.5000
Ir1 Ir 0.2500 0.2500 0.2500
```

* space-group type: F-43m (216)
* spin magnetization: 7.01 μB per cell
* excess energy over the best structure of this formula in the dataset: 0 meV per atom
* energy: -8.419 eV per atom
* D(E_F): 3.36 states/eV/atom
* ΔH_f (0 K): -514 meV/atom


First-principles (PBE) data for an optimized crystal structure of YSb2RhI, as listed in the Alexandria database.

Geometry as CIF:
```
data_YSb2RhI
_chemical_formula_sum 'Y1 Sb2 Rh1 I1'
_cell_length_a 5.8130
_cell_length_b 5.8130
_cell_length_c 5.7849
_cell_angle_alpha 90.00
_cell_angle_beta 90.00
_cell_angle_gamma 90.00
_symmetry_space_group_name_H-M 'P 1'
_symmetry_Int_Tables_number 1
loop_
_symmetry_equiv_pos_as_xyz
'x,y,z'
loop_
_atom_site_label
_atom_site_type_symbol
_atom_site_fract_x
_atom_site_fract_y
_atom_site_fract_z
Y1 Y 0.0000 0.0000 0.0000
Sb1 Sb 0.0000 0.5000 0.0000
Sb2 Sb 0.5000 0.0000 0.0000
Rh1 Rh 0.5000 0.5000 0.5000
I1 I 0.0000 0.0000 0.5000
```

* space-group type: P4/mmm (123)
* spin magnetization: 1.35 μB per cell
* excess energy over the best structure of this formula in the dataset: 814 meV per atom
* energy: -3.934 eV per atom
* D(E_F): 1.90 states/eV/atom


First-principles (PBE) data for an optimized crystal structure of Ac2Cd3Sn2, as listed in the Alexandria database.

Geometry as CIF:
```
data_Ac2Cd3Sn2
_chemical_formula_sum 'Ac2 Cd3 Sn2'
_cell_length_a 11.3866
_cell_length_b 11.3866
_cell_length_c 4.6025
_cell_angle_alpha 90.00
_cell_angle_beta 90.00
_cell_angle_gamma 157.69
_symmetry_space_group_name_H-M 'P 1'
_symmetry_Int_Tables_number 1
loop_
_symmetry_equiv_pos_as_xyz
'x,y,z'
loop_
_atom_site_label
_atom_site_type_symbol
_atom_site_fract_x
_atom_site_fract_y
_atom_site_fract_z
Ac1 Ac 0.1595 0.8405 0.0000
Ac2 Ac 0.8405 0.1595 0.0000
Cd1 Cd 0.0000 0.0000 0.0000
Cd2 Cd 0.4359 0.5641 0.5000
Cd3 Cd 0.5641 0.4359 0.5000
Sn1 Sn 0.2931 0.7069 0.5000
Sn2 Sn 0.7069 0.2931 0.5000
```

* space-group type: Cmmm (65)
* spin magnetization: 0.00 μB per cell
* excess energy over the best structure of this formula in the dataset: 136 meV per atom
* energy: -3.025 eV per atom
* D(E_F): 0.42 states/eV/atom
* ΔH_f (0 K): -315 meV/atom